This record from Alexandria via LeMat-Bulk describes SiNiPdO4 after structural relaxation. The functional is GGA+U.

The structure in POSCAR format:
```
SiNiPdO4
1.0
-4.902 -0.239 0.912
2.751 -1.010 4.041
-0.013 6.418 1.613
Si Ni Pd O
2 2 2 8
direct
0.144 0.856 0.250 Si
0.856 0.144 0.750 Si
0.500 0.500 0.500 Ni
0.500 0.500 0.000 Ni
0.784 0.216 0.250 Pd
0.216 0.784 0.750 Pd
0.219 0.273 0.750 O
0.727 0.781 0.750 O
0.740 0.260 0.949 O
0.740 0.260 0.551 O
0.260 0.740 0.051 O
0.260 0.740 0.449 O
0.781 0.727 0.250 O
0.273 0.219 0.250 O
```

Computed properties:
- spin magnetization (μB/atom) = 0.288
- ρ (g cm⁻³) = 5.61
- crystal system = orthorhombic
- uncorrected energy (eV/atom) = -6.140